# PBE with a Hubbard U Ba2FePdF, optimized geometry
data_Ba2FePdF
_chemical_formula_sum 'Ba2 Fe1 Pd1 F1'
_cell_length_a 6.190
_cell_length_b 6.190
_cell_length_c 4.634
_cell_angle_alpha 90.00
_cell_angle_beta 90.00
_cell_angle_gamma 90.00
_symmetry_space_group_name_H-M 'P 4/m m m'
_symmetry_Int_Tables_number 123
_symmetry_space_group_name_Hall '-P 4 2'
loop_
_atom_site_label
_atom_site_type_symbol
_atom_site_fract_x
_atom_site_fract_y
_atom_site_fract_z
_atom_site_occupancy
Ba1 Ba 0.000 0.500 0.000 1
Fe1 Fe 0.000 0.000 0.000 1
Pd1 Pd 0.000 0.000 0.500 1
F1 F 0.500 0.500 0.500 1
# E: -3.7118 eV per atom